A geometry-optimized Sc2MoO6 structure, computed with PBE+U.

abc: 4.809 4.809 9.409
angles: 90.00 90.00 90.00
Fractional positions:
O: 0.690 0.690 0.846
O: 0.310 0.310 0.846
O: 0.810 0.190 0.346
O: 0.190 0.810 0.654
O: 0.310 0.310 0.154
O: 0.810 0.190 0.654
O: 0.690 0.690 0.154
O: 0.211 0.789 0.000
O: 0.190 0.810 0.346
O: 0.789 0.211 0.000
O: 0.711 0.711 0.500
O: 0.289 0.289 0.500
Mo: 0.500 0.500 0.000
Mo: 0.000 0.000 0.500
Sc: 0.500 0.500 0.334
Sc: 0.000 0.000 0.834
Sc: 0.000 0.000 0.166
Sc: 0.500 0.500 0.666

Computed properties:
* volume: 12.1 A^3/atom
* total energy: -146.90 eV per cell
* density of states at the Fermi level: 0.0 states/eV per cell